{
  "formula": "CdGeBAs2",
  "functional": "PBE",
  "state": "relaxed",
  "lattice": [[-3.976, 1.201, 3.295], [-0.894, -4.015, 0.385], [3.315, -0.342, 4.124]],
  "species": ["Cd", "Ge", "As", "As", "B"],
  "frac_coords": [[0.000, 0.000, 0.000], [0.500, 0.500, 0.500], [0.000, 0.000, 0.500], [0.500, 0.000, 0.000], [0.000, 0.500, 0.000]],
  "total_magnetization_mub_per_fu": 0.000,
  "formation_enthalpy_0k_ev_per_atom": 1.34
}